No. 1
Density functional theory data (PBE) for an optimized crystal structure of KYRe2.

Computed properties:
Calculated density = 7.8 Mg/m³
Fermi-level density of states = 1.19 states/eV/atom
Symmetry = Pmmm, No. 47
Distance to the lowest polymorph of the same formula = 1.37 eV per formula unit
Energy of formation from the pure elements = 0.864 eV/atom
Magnetization = 0.0000 μB/atom

abc: 2.891 4.950 7.408
angles: 90.00 90.00 90.00
Fractional coordinates of all 4 atoms:
K: 0.500 0.500 0.750
Re: 0.000 0.000 0.096
Re: 0.000 0.000 0.404
Y: 0.500 0.500 0.250

No. 2
Density functional theory data (PBE) for an optimized crystal structure of Zr2TlSi.

Computed properties:
Calculated density = 8.4 Mg/m³
Fermi-level density of states = 0.70 states/eV/atom
Symmetry = Cmmm, No. 65
ΔE_f (raw) = -32 kJ/mol of atoms
Magnetization = 0.0000 μB/atom

abc: 3.151 3.151 8.404
angles: 90.00 90.00 98.69
Fractional coordinates of all 4 atoms:
Si: 0.500 0.500 0.250
Tl: 0.500 0.500 0.750
Zr: 0.000 0.000 0.036
Zr: 0.000 0.000 0.464